Density functional theory data (GGA-PBE) for a geometry-optimized HoZrP structure.

Properties
Size of the total moment, μB per atom: 0.00
Polymorph energy (0 for the lowest one), eV per atom: 0.000
Formation energy, eV/f.u.: -2.48

Cell lengths 6.3605, 6.3605, 18.4458 Å; angles 90.00, 90.00, 120.00 degrees
Space group R3 (No. 146, hexagonal axes)
Symmetry-distinct sites (fractional):
Ho  0.0045  0.3297  0.0000 (multiplicity 9)
Zr  0.0142  0.6697  0.5015 (multiplicity 9)
P  0.0000  0.0000  0.0938 (multiplicity 3)
P  0.0000  0.0000  0.4218 (multiplicity 3)
P  0.0000  0.0000  0.5827 (multiplicity 3)